# SrLi2Ni2

A relaxed structure of SrLi2Ni2 (PBE, the Alexandria database).

Geometry as POSCAR:
```
SrLi2Ni2
1.0
7.519 0.000 0.000
0.000 7.519 0.000
0.000 0.000 2.973
Sr Li Ni
2 4 4
Direct
0.000 0.000 0.000
0.500 0.500 0.000
0.116 0.384 0.000
0.384 0.884 0.000
0.616 0.116 0.000
0.884 0.616 0.000
0.175 0.675 0.500
0.325 0.175 0.500
0.675 0.825 0.500
0.825 0.325 0.500
```

- E_tot: -3.198 eV/atom
- Total magnetization: 0.000 μB/atom
- ΔE_f: 1.08 eV/f.u.
- Theoretical density: 4.33 g/cm3
- Symmetry: P4/mbm (127)